## Tc2HgBr (PBE-GGA)

Data for a geometry-optimized Tc2HgBr structure.

Cell and atoms, written as CIF:
```
data_Tc2HgBr
_space_group_name_H-M_alt 'P 1'
_space_group_IT_number 1
_space_group_name_Hall 'P 1'
_cell_length_a 6.402
_cell_length_b 6.402
_cell_length_c 6.402
_cell_angle_alpha 149.49
_cell_angle_beta 136.44
_cell_angle_gamma 54.11
loop_
_atom_site_label
_atom_site_type_symbol
_atom_site_fract_x
_atom_site_fract_y
_atom_site_fract_z
Hg1 Hg 0.274 0.774 0.500
Br1 Br 0.551 0.551 0.000
Tc1 Tc 0.906 0.906 0.000
Tc2 Tc 0.768 0.268 0.500
```

Offset from the most stable computed form: 457 meV per atom
Formation energy (no corrections): 0.701 eV per atom
D(E_F): 0.8425 states/eV per atom
Density: 8.67 Mg/m³
Energy: -4.98 eV/atom
Crystal system: orthorhombic